Here is an optimized crystal structure of ZnBiF3 from Alexandria via LeMat-Bulk. Energies are from GGA-PBE.

```
ZnBiF3
1.0
4.6250 0.0000 0.0000
0.0000 4.6250 0.0000
0.0000 0.0000 4.6250
F Bi Zn
3 1 1
direct
0.5000 0.0000 0.0000
0.0000 0.0000 0.5000
0.0000 0.5000 0.0000
0.0000 0.0000 0.0000
0.5000 0.5000 0.5000
```

Output
**Total energy**: -3.84 eV/atom
**E_form (uncorrected)**: -1.683 eV per atom
**ΔE to the lowest computed polymorph**: 0.0000 eV per atom
**ρ**: 5.6 g/cm³
**Total moment**: 0.00 μB/f.u.

---

Here is an optimized crystal structure of Tc2OsSe from Alexandria via LeMat-Bulk. Energies are from GGA-PBE.

```
Tc2OsSe
1.0
8.5921 0.0056 0.0033
8.1171 2.8175 0.0033
8.1171 1.3714 2.4612
Tc Os Se
2 1 1
direct
0.0016 0.0016 0.0016
0.4984 0.4984 0.4984
0.2500 0.2500 0.2500
0.7500 0.7500 0.7500
```

Output
**Total energy**: -8.64 eV/atom
**E_form (uncorrected)**: 0.224 eV per atom
**ρ**: 13.0 g/cm³
**Total moment**: 0.00 μB/f.u.